# 1
KRbI2 after structural relaxation. Source: the Alexandria database, functional PBE-GGA.

Unit cell a=6.2367 b=6.2367 c=6.2367 alpha=60.00 beta=60.00 gamma=60.00
Positions (direct):
K1 0.0000 0.0000 0.0000
Rb1 0.5000 0.5000 0.5000
I1 0.2500 0.2500 0.2500
I2 0.7500 0.7500 0.7500

Computed properties:
For the polymorph energy (0 for the lowest one), the calculation gives 0.062 eV per atom. As for the space-group type: Fm-3m (225).



# 2
KRbI after structural relaxation. Source: the Alexandria database, functional PBE-GGA.

Unit cell a=6.2866 b=6.2866 c=6.2866 alpha=60.00 beta=60.00 gamma=60.00
Positions (direct):
K1 0.0000 0.0000 0.0000
Rb1 0.5000 0.5000 0.5000
I1 0.2500 0.2500 0.2500

Computed properties:
For the polymorph energy (0 for the lowest one), the calculation gives 0.121 eV per atom. As for the space-group type: F-43m (216).